Computed, not measured: AcGeAsPd after structural relaxation at the PBE level of DFT.

Unit cell a=5.0771 b=5.0771 c=5.0771 alpha=60.00 beta=60.00 gamma=60.00
With the nearest neighbours (Å) after each atom.
Fractional coordinates of all 4 atoms:
Ac: 0.5000 0.5000 0.5000  4 Pd 3.11, 4 Ge 3.11
Ge: 0.2500 0.2500 0.2500  4 Ac 3.11, 4 As 3.11
As: 0.0000 0.0000 0.0000  4 Ge 3.11, 4 Pd 3.11
Pd: 0.7500 0.7500 0.7500  4 Ac 3.11, 4 As 3.11

Its space group is F-43m, No. 216. The uncorrected energy comes out at -19.92 eV for the cell shown. The volume is 93 Å³/cell. Its density of states at the Fermi level is 0.616 states/eV per atom.